[1]
VASP calculation (PBE) on Al3Cu3Si2 after structural relaxation.

Geometry as extended XYZ:
```
16
Lattice="5.861 0.000 0.000 0.243 6.125 0.000 1.100 1.039 6.676" Properties=species:S:1:pos:R:3 pbc="T T T"
Al 0.977 2.398 2.597
Al 1.882 6.291 5.705
Al 3.054 4.022 4.527
Al 4.150 3.142 2.149
Al 5.322 0.873 0.971
Al 6.227 4.766 4.079
Cu 1.041 2.522 5.074
Cu 3.284 2.082 6.285
Cu 2.975 1.561 3.737
Cu 4.229 5.603 2.939
Cu 3.920 5.082 0.391
Cu 6.163 4.642 1.602
Si 2.174 6.207 1.883
Si 1.994 3.440 0.448
Si 5.210 3.724 6.228
Si 5.030 0.957 4.793
```

distance to the lowest polymorph of the same formula: 4 meV/atom
total magnetic moment: 0.00 Bohr magnetons per cell
raw formation energy: 22.4 meV/atom
calculated total energy: -34.18 eV per formula unit

[2]
VASP calculation (PBE) on Al2CuSi4 after structural relaxation.

Geometry as extended XYZ:
```
7
Lattice="3.620 0.000 0.000 -1.810 3.135 0.000 0.000 0.000 11.733" Properties=species:S:1:pos:R:3 pbc="T T T"
Al 0.000 0.000 0.000
Al 0.000 2.090 7.748
Cu 1.810 1.045 3.843
Si 0.000 2.090 5.019
Si 0.000 2.090 10.205
Si 1.810 1.045 1.560
Si 1.810 1.045 6.272
```

distance to the lowest polymorph of the same formula: 206 meV/atom
total magnetic moment: 0.00 Bohr magnetons per cell
raw formation energy: 383.7 meV/atom
calculated total energy: -30.59 eV per formula unit

[3]
VASP calculation (PBE) on Al5Cu2Si after structural relaxation.

Geometry as extended XYZ:
```
16
Lattice="2.861 0.000 0.000 0.000 8.103 0.000 0.000 0.000 10.446" Properties=species:S:1:pos:R:3 pbc="T T T"
Al 0.000 0.000 0.000
Al 0.000 2.121 3.839
Al 0.000 2.121 6.607
Al 0.000 5.982 3.839
Al 0.000 5.982 6.607
Al 1.431 1.931 1.384
Al 1.431 1.931 9.062
Al 1.431 4.051 5.223
Al 1.431 6.172 1.384
Al 1.431 6.172 9.062
Cu 0.000 0.000 2.525
Cu 0.000 0.000 7.921
Cu 1.431 4.051 2.698
Cu 1.431 4.051 7.748
Si 0.000 4.051 0.000
Si 1.431 0.000 5.223
```

distance to the lowest polymorph of the same formula: 78 meV/atom
total magnetic moment: 0.00 Bohr magnetons per cell
raw formation energy: 40.3 meV/atom
calculated total energy: -32.01 eV per formula unit

[4]
VASP calculation (PBE) on AlCuSi2 after structural relaxation.

Geometry as extended XYZ:
```
4
Lattice="4.737 0.000 0.000 0.000 4.737 0.000 0.000 0.000 2.594" Properties=species:S:1:pos:R:3 pbc="T T T"
Al 0.000 0.000 0.000
Cu 2.369 2.369 0.000
Si 0.000 2.369 1.297
Si 2.369 0.000 1.297
```

total magnetic moment: 0.00 Bohr magnetons per cell
raw formation energy: 252.5 meV/atom
calculated total energy: -17.67 eV per formula unit

- Which formula does entry 1 have?
  Al3Cu3Si2